Compound: PrNi2F6
Source: Alexandria via LeMat-Bulk
Functional: GGA+U
Structure: relaxed

Cell and atoms, written as POSCAR:
```
PrNi2F6
1.0
5.3763 0.0000 0.0000
-2.6882 4.6560 0.0000
0.0000 0.0000 5.1693
Pr Ni F
1 2 6
direct
0.0000 0.0000 0.0000
0.3333 0.6667 0.5000
0.6667 0.3333 0.5000
0.0000 0.3486 0.7272
0.0000 0.6514 0.2728
0.3486 0.0000 0.7272
0.3486 0.3486 0.2728
0.6514 0.0000 0.2728
0.6514 0.6514 0.7272
```

Results
Uncorrected energy ... -4.95 eV/atom
Crystal system ... trigonal
ρ ... 4.8 g cm⁻³
Size of the total moment ... 3.159 μB/f.u.